# Tb2YCd3Ag3 (GGA-PBE, relaxed)
data_Tb2YCd3Ag3
_space_group_name_H-M_alt 'P 1'
_space_group_IT_number 1
_cell_length_a 3.919
_cell_length_b 7.865
_cell_length_c 7.865
_cell_angle_alpha 120.06
_cell_angle_beta 90.00
_cell_angle_gamma 90.00
loop_
_space_group_symop_operation_xyz
'x,y,z'
loop_
_atom_site_label
_atom_site_type_symbol
_atom_site_fract_x
_atom_site_fract_y
_atom_site_fract_z
_atom_site_occupancy
Tb1 Tb 0.000 0.202 0.798 1
Tb2 Tb 0.000 0.798 0.202 1
Y1 Y 0.000 0.606 0.606 1
Cd1 Cd 0.500 0.202 0.465 1
Cd2 Cd 0.500 0.465 0.202 1
Cd3 Cd 0.500 0.938 0.938 1
Ag1 Ag 0.000 0.202 0.202 1
Ag2 Ag 0.500 0.535 0.869 1
Ag3 Ag 0.500 0.869 0.535 1
# Symmetry   Amm2 (38)
# Volume   23.31 Å³/atom
# Total magnetic moment   0.001 μB/atom
# Energy of formation   -0.344 eV/atom
# E   -3.331 eV/atom


# CdAgTe2 (GGA-PBE, relaxed)
data_CdAgTe2
_space_group_name_H-M_alt 'P 1'
_space_group_IT_number 1
_cell_length_a 5.238
_cell_length_b 5.238
_cell_length_c 5.238
_cell_angle_alpha 60.00
_cell_angle_beta 60.00
_cell_angle_gamma 60.00
loop_
_space_group_symop_operation_xyz
'x,y,z'
loop_
_atom_site_label
_atom_site_type_symbol
_atom_site_fract_x
_atom_site_fract_y
_atom_site_fract_z
_atom_site_occupancy
Cd1 Cd 0.000 0.000 0.000 1
Ag1 Ag 0.750 0.750 0.750 1
Te1 Te 0.250 0.250 0.250 1
Te2 Te 0.500 0.500 0.500 1
# Symmetry   F-43m (216)
# Volume   25.41 Å³/atom
# E   -2.261 eV/atom


# Cd2AgTe (GGA-PBE, relaxed)
data_Cd2AgTe
_space_group_name_H-M_alt 'P 1'
_space_group_IT_number 1
_cell_length_a 5.145
_cell_length_b 5.145
_cell_length_c 5.145
_cell_angle_alpha 60.00
_cell_angle_beta 60.00
_cell_angle_gamma 60.00
loop_
_space_group_symop_operation_xyz
'x,y,z'
loop_
_atom_site_label
_atom_site_type_symbol
_atom_site_fract_x
_atom_site_fract_y
_atom_site_fract_z
_atom_site_occupancy
Cd1 Cd 0.000 0.000 0.000 1
Cd2 Cd 0.250 0.250 0.250 1
Ag1 Ag 0.750 0.750 0.750 1
Te1 Te 0.500 0.500 0.500 1
# Symmetry   F-43m (216)
# Volume   24.07 Å³/atom
# E   -1.828 eV/atom


# Tl2CdAg (GGA-PBE, relaxed)
data_Tl2CdAg
_space_group_name_H-M_alt 'P 1'
_space_group_IT_number 1
_cell_length_a 5.261
_cell_length_b 5.261
_cell_length_c 5.261
_cell_angle_alpha 60.00
_cell_angle_beta 60.00
_cell_angle_gamma 60.00
loop_
_space_group_symop_operation_xyz
'x,y,z'
loop_
_atom_site_label
_atom_site_type_symbol
_atom_site_fract_x
_atom_site_fract_y
_atom_site_fract_z
_atom_site_occupancy
Tl1 Tl 0.000 0.000 0.000 1
Tl2 Tl 0.250 0.250 0.250 1
Cd1 Cd 0.500 0.500 0.500 1
Ag1 Ag 0.750 0.750 0.750 1
# Symmetry   F-43m (216)
# Volume   25.75 Å³/atom
# E   -1.981 eV/atom


# TlCd2Ag (GGA-PBE, relaxed)
data_TlCd2Ag
_space_group_name_H-M_alt 'P 1'
_space_group_IT_number 1
_cell_length_a 5.047
_cell_length_b 5.047
_cell_length_c 5.047
_cell_angle_alpha 60.00
_cell_angle_beta 60.00
_cell_angle_gamma 60.00
loop_
_space_group_symop_operation_xyz
'x,y,z'
loop_
_atom_site_label
_atom_site_type_symbol
_atom_site_fract_x
_atom_site_fract_y
_atom_site_fract_z
_atom_site_occupancy
Tl1 Tl 0.000 0.000 0.000 1
Cd1 Cd 0.500 0.500 0.500 1
Cd2 Cd 0.750 0.750 0.750 1
Ag1 Ag 0.250 0.250 0.250 1
# Symmetry   F-43m (216)
# Volume   22.73 Å³/atom
# E   -1.651 eV/atom


# Tm5CdAg4 (GGA-PBE, relaxed)
data_Tm5CdAg4
_space_group_name_H-M_alt 'P 1'
_space_group_IT_number 1
_cell_length_a 3.600
_cell_length_b 3.600
_cell_length_c 18.130
_cell_angle_alpha 90.00
_cell_angle_beta 90.00
_cell_angle_gamma 90.00
loop_
_space_group_symop_operation_xyz
'x,y,z'
loop_
_atom_site_label
_atom_site_type_symbol
_atom_site_fract_x
_atom_site_fract_y
_atom_site_fract_z
_atom_site_occupancy
Tm1 Tm 0.000 0.000 0.000 1
Tm2 Tm 0.000 0.000 0.197 1
Tm3 Tm 0.000 0.000 0.393 1
Tm4 Tm 0.000 0.000 0.607 1
Tm5 Tm 0.000 0.000 0.803 1
Cd1 Cd 0.500 0.500 0.500 1
Ag1 Ag 0.500 0.500 0.099 1
Ag2 Ag 0.500 0.500 0.298 1
Ag3 Ag 0.500 0.500 0.702 1
Ag4 Ag 0.500 0.500 0.901 1
# Symmetry   P4/mmm (123)
# Volume   23.49 Å³/atom
# Total magnetic moment   0.001 μB/atom
# Energy of formation   -0.344 eV/atom
# E   -3.801 eV/atom


# TmZrCd2Ag4 (GGA-PBE, relaxed)
data_TmZrCd2Ag4
_space_group_name_H-M_alt 'P 1'
_space_group_IT_number 1
_cell_length_a 4.854
_cell_length_b 4.854
_cell_length_c 6.816
_cell_angle_alpha 90.00
_cell_angle_beta 90.00
_cell_angle_gamma 90.00
loop_
_space_group_symop_operation_xyz
'x,y,z'
loop_
_atom_site_label
_atom_site_type_symbol
_atom_site_fract_x
_atom_site_fract_y
_atom_site_fract_z
_atom_site_occupancy
Tm1 Tm 0.000 0.000 0.000 1
Zr1 Zr 0.500 0.500 0.500 1
Cd1 Cd 0.000 0.000 0.500 1
Cd2 Cd 0.500 0.500 0.000 1
Ag1 Ag 0.000 0.500 0.258 1
Ag2 Ag 0.000 0.500 0.742 1
Ag3 Ag 0.500 0.000 0.258 1
Ag4 Ag 0.500 0.000 0.742 1
# Symmetry   P4/mmm (123)
# Volume   20.07 Å³/atom
# Total magnetic moment   0.001 μB/atom
# Energy of formation   -0.195 eV/atom
# E   -3.459 eV/atom


# UCdAg (GGA-PBE, relaxed)
data_UCdAg
_space_group_name_H-M_alt 'P 1'
_space_group_IT_number 1
_cell_length_a 5.003
_cell_length_b 5.003
_cell_length_c 5.003
_cell_angle_alpha 60.00
_cell_angle_beta 60.00
_cell_angle_gamma 60.00
loop_
_space_group_symop_operation_xyz
'x,y,z'
loop_
_atom_site_label
_atom_site_type_symbol
_atom_site_fract_x
_atom_site_fract_y
_atom_site_fract_z
_atom_site_occupancy
U1 U 0.000 0.000 0.000 1
Cd1 Cd 0.750 0.750 0.750 1
Ag1 Ag 0.250 0.250 0.250 1
# Symmetry   F-43m (216)
# Volume   29.51 Å³/atom
# Total magnetic moment   1.195 μB/atom
# Energy of formation   1.000 eV/atom
# E   -4.005 eV/atom